(1)
First-principles (PBE) data for a relaxed structure of PmNdMnAg, as listed in Alexandria.

Values from the calculation:
ΔH_f (0 K) = 0.0439 eV per atom
total DFT energy (no corrections) = -21.36 eV per formula unit

Unit cell a=7.409 b=7.409 c=7.409 alpha=90.00 beta=90.00 gamma=90.00
Space group F-43m (No. 216)
Unique sites:
Pm  0.000  0.000  0.000 x4
Nd  0.000  0.000  0.500 x4
Mn  0.250  0.250  0.750 x4
Ag  0.250  0.250  0.250 x4

***

(2)
First-principles (PBE) data for a relaxed structure of SiAsRu, as listed in Alexandria.

Values from the calculation:
ΔE to the lowest computed polymorph = 443 meV per atom
formation energy without anion corrections = 198 meV per atom
total DFT energy (no corrections) = -18.75 eV per formula unit

Unit cell a=4.2872 b=4.2872 c=2.9534 alpha=90.00 beta=90.00 gamma=120.00
Space group P3m1 (No. 156)
Unique sites:
Si  0.0000  0.0000  0.0000 x1
As  0.6667  0.3333  0.6389 x1
Ru  0.3333  0.6667  0.8937 x1

***

(3)
First-principles (PBE) data for a relaxed structure of Be5ZnRh4, as listed in Alexandria.

Values from the calculation:
ΔH_f (0 K) = -0.5257 eV per atom
total DFT energy (no corrections) = -54.57 eV per formula unit

Unit cell a=2.837 b=2.837 c=13.612 alpha=90.00 beta=90.00 gamma=90.00
Space group P4/mmm (No. 123)
Unique sites:
Be  0.000  0.000  0.000 x1
Be  0.000  0.000  0.198 x2
Be  0.000  0.000  0.385 x2
Zn  0.500  0.500  0.500 x1
Rh  0.500  0.500  0.101 x2
Rh  0.500  0.500  0.305 x2

***

(4)
First-principles (PBE) data for a relaxed structure of PmNdDy2Tm2, as listed in Alexandria.

Values from the calculation:
ΔH_f (0 K) = 0.2809 eV per atom
total DFT energy (no corrections) = -25.98 eV per formula unit

Unit cell a=6.546 b=17.817 c=3.403 alpha=90.00 beta=90.00 gamma=90.00
Space group Pnnm (No. 58)
Unique sites:
Pm  0.000  0.000  0.000 x2
Nd  0.000  0.500  0.000 x2
Dy  0.225  0.187  0.000 x4
Tm  0.225  0.351  0.500 x4

***

(5)
First-principles (PBE) data for a relaxed structure of Ca2AcPdO5, as listed in Alexandria.

Values from the calculation:
formation energy without anion corrections = -2107 meV per atom
total DFT energy (no corrections) = -57.06 eV per formula unit

Unit cell a=6.506 b=6.506 c=12.045 alpha=90.00 beta=90.00 gamma=90.00
Space group I4/mcm (No. 140)
Unique sites:
Ca  0.169  0.331  0.000 x8
Ac  0.000  0.000  0.250 x4
Pd  0.000  0.500  0.250 x4
O  0.000  0.000  0.000 x4
O  0.152  0.348  0.369 x16

***

(6)
First-principles (PBE) data for a relaxed structure of Tl2Sb, as listed in Alexandria.

Values from the calculation:
ΔE to the lowest computed polymorph = 0 meV per atom
formation energy without anion corrections = -20 meV per atom
total DFT energy (no corrections) = -8.91 eV per formula unit

Unit cell a=12.714 b=5.027 c=8.247 alpha=90.00 beta=130.34 gamma=90.00
Space group C2/m (No. 12)
Unique sites:
Tl  0.075  0.000  0.332 x4
Tl  0.157  0.500  0.049 x4
Sb  0.150  0.500  0.643 x4

***

- Among the records above, which one has the lowest total DFT energy (no corrections)?
  Ca2AcPdO5

***

- What is the formula in the sixth record?
  Tl2Sb

***

- What is the formula in the sixth record?
  Tl2Sb